Crystalline SrSc2As at its relaxed geometry. Source: the Alexandria database, functional GGA-PBE.

Structure (POSCAR):
```
SrSc2As
1.0
3.800 0.000 0.000
-1.900 3.291 0.000
0.000 0.000 29.588
Sr Sc As
3 6 3
direct
0.000 0.000 0.000
0.333 0.667 0.667
0.667 0.333 0.333
0.000 0.000 0.117
0.000 0.000 0.883
0.333 0.667 0.550
0.333 0.667 0.783
0.667 0.333 0.217
0.667 0.333 0.450
0.000 0.000 0.500
0.333 0.667 0.167
0.667 0.333 0.833
```

- energy of formation from the pure elements (eV/atom) = -0.382
- DOS(E_F) (states/eV/cell) = 11.92